Computed, not measured: a relaxed structure of TaCrRu4 at the PBE-GGA level of DFT.

It has space group F-43m (No. 216), with a = 7.179 Å, b = 7.179 Å, c = 7.179 Å, α = 90.00°, β = 90.00° and γ = 90.00°. The distinct sites, in fractional coordinates, are Ta at (0.000, 0.000, 0.000), Cr at (0.250, 0.250, 0.750) and Ru at (0.124, 0.124, 0.376).

As for the formation energy: 1.3 eV per formula unit. The value obtained for the magnetic moment is 2.37 μB/f.u.